1.
# AcPmPrN3

Crystalline AcPmPrN3 at its relaxed geometry (PBE, Alexandria via LeMat-Bulk).

The calculation puts the formation energy (no corrections) at -1.1695 eV/atom. The size of the total moment is 0.000 μB per atom.

Unit cell a=6.385 b=3.730 c=9.576 alpha=90.00 beta=101.89 gamma=90.00
Space group P2_1/m (No. 11)
Unique sites:
Ac (0.155, 0.250, 0.198) x2
Pm (0.351, 0.250, 0.859) x2
Pr (0.271, 0.750, 0.544) x2
N (0.035, 0.250, 0.673) x2
N (0.255, 0.750, 0.984) x2
N (0.471, 0.750, 0.348) x2

2.
# PrPuSe2

Crystalline PrPuSe2 at its relaxed geometry (PBE, Alexandria via LeMat-Bulk).

The energy relative to the lowest polymorph listed for this composition comes out at 0.000 eV/atom. The calculation puts the formation energy (no corrections) at -1.7037 eV/atom. The size of the total moment is 1.443 μB per atom.

Unit cell a=4.1903 b=4.1903 c=20.7490 alpha=90.00 beta=90.00 gamma=120.00
Space group R-3m (No. 166, hexagonal axes)
Unique sites:
Pr (0.0000, 0.0000, 0.0000) x3
Pu (0.0000, 0.0000, 0.5000) x3
Se (0.0000, 0.0000, 0.2465) x6

3.
# Ac2Ge3PdPt12

Crystalline Ac2Ge3PdPt12 at its relaxed geometry (PBE, Alexandria via LeMat-Bulk).

The value obtained for the energy of formation is -27 kJ per mole of atoms. The size of the total moment is 0.000 μB per atom.

Unit cell a=8.3600 b=8.3600 c=19.0841 alpha=90.00 beta=90.00 gamma=120.00
Space group R-3m (No. 166, hexagonal axes)
Unique sites:
Ac (0.0000, 0.0000, 0.1188) x6
Ge (0.0000, 0.5000, 0.0000) x9
Pd (0.0000, 0.0000, 0.5000) x3
Pt (0.0024, 0.5012, 0.8739) x18
Pt (0.0218, 0.5109, 0.3709) x18

4.
# ReP

Crystalline ReP at its relaxed geometry (PBE, Alexandria via LeMat-Bulk).

The value obtained for the energy of formation is 9 kJ per mole of atoms. The energy relative to the lowest polymorph listed for this composition comes out at 0.379 eV/atom. The size of the total moment is 0.000 μB per atom.

Unit cell a=3.9344 b=3.9344 c=14.9334 alpha=90.00 beta=90.00 gamma=120.00
Space group R-3m (No. 166, hexagonal axes)
Unique sites:
Re (0.0000, 0.0000, 0.0992) x6
P (0.0000, 0.0000, 0.2602) x6

5.
# CaCuAu

Crystalline CaCuAu at its relaxed geometry (PBE, Alexandria via LeMat-Bulk).

The value obtained for the energy of formation is -31 kJ per mole of atoms. The energy relative to the lowest polymorph listed for this composition comes out at 0.159 eV/atom. The size of the total moment is 0.000 μB per atom.

Unit cell a=6.452 b=6.452 c=6.452 alpha=90.00 beta=90.00 gamma=90.00
Space group F-43m (No. 216)
Unique sites:
Ca (0.000, 0.000, 0.000) x4
Cu (0.250, 0.250, 0.250) x4
Au (0.000, 0.000, 0.500) x4

6.
# Sm12Si6Sn

Crystalline Sm12Si6Sn at its relaxed geometry (PBE, Alexandria via LeMat-Bulk).

The calculation puts the formation energy (no corrections) at -0.5755 eV/atom. The size of the total moment is 0.000 μB per atom.

Unit cell a=10.143 b=10.143 c=10.143 alpha=90.00 beta=90.00 gamma=90.00
Space group Im-3 (No. 204)
Unique sites:
Sm (0.000, 0.188, 0.297) x24
Si (0.000, 0.385, 0.500) x12
Sn (0.000, 0.000, 0.000) x2

7.
# Sc2FePdRu

Crystalline Sc2FePdRu at its relaxed geometry (PBE, Alexandria via LeMat-Bulk).

The value obtained for the energy of formation is 31 kJ per mole of atoms. The size of the total moment is 0.654 μB per atom.

Unit cell a=4.877 b=4.877 c=4.569 alpha=90.00 beta=90.00 gamma=90.00
Space group P4/mmm (No. 123)
Unique sites:
Sc (0.000, 0.500, 0.000) x2
Fe (0.000, 0.000, 0.500) x1
Pd (0.500, 0.500, 0.500) x1
Ru (0.000, 0.000, 0.000) x1

8.
# ScMn2ZnI

Crystalline ScMn2ZnI at its relaxed geometry (PBE, Alexandria via LeMat-Bulk).

The calculation puts the formation energy (no corrections) at 1.0751 eV/atom. The size of the total moment is 1.413 μB per atom.

Unit cell a=5.025 b=5.025 c=5.369 alpha=90.00 beta=90.00 gamma=90.00
Space group P4/mmm (No. 123)
Unique sites:
Sc (0.000, 0.000, 0.000) x1
Mn (0.000, 0.500, 0.000) x2
Zn (0.000, 0.000, 0.500) x1
I (0.500, 0.500, 0.500) x1

9.
# CdIr2W

Crystalline CdIr2W at its relaxed geometry (PBE, Alexandria via LeMat-Bulk).

The value obtained for the energy of formation is 12 kJ per mole of atoms. The size of the total moment is 0.000 μB per atom.

Unit cell a=9.597 b=2.823 c=4.846 alpha=90.00 beta=100.91 gamma=90.00
Space group Cm (No. 8)
Unique sites:
Cd (0.000, 0.000, 0.000) x2
Ir (0.013, 0.500, 0.498) x2
Ir (0.244, 0.000, 0.795) x2
W (0.271, 0.500, 0.318) x2

10.
# AlAuS2

Crystalline AlAuS2 at its relaxed geometry (PBE, Alexandria via LeMat-Bulk).

The calculation puts the formation energy (no corrections) at -0.5253 eV/atom. The size of the total moment is 0.000 μB per atom.

Unit cell a=7.501 b=3.645 c=13.499 alpha=90.00 beta=90.00 gamma=90.00
Space group Pnma (No. 62)
Unique sites:
Al (0.070, 0.250, 0.083) x4
Au (0.143, 0.250, 0.758) x4
S (0.108, 0.250, 0.247) x4
S (0.198, 0.750, 0.004) x4

Number 6 is which compound?
Sm12Si6Sn

What did the seventh record say?
# Sc2FePdRu

Crystalline Sc2FePdRu at its relaxed geometry (PBE, Alexandria via LeMat-Bulk).

The value obtained for the energy of formation is 31 kJ per mole of atoms. The size of the total moment is 0.654 μB per atom.

Unit cell a=4.877 b=4.877 c=4.569 alpha=90.00 beta=90.00 gamma=90.00
Space group P4/mmm (No. 123)
Unique sites:
Sc (0.000, 0.500, 0.000) x2
Fe (0.000, 0.000, 0.500) x1
Pd (0.500, 0.500, 0.500) x1
Ru (0.000, 0.000, 0.000) x1

Which value of size of the total moment does entry 7 give?
0.654 μB per atom